(1)
# K7RbAu3, relaxed, DFT GGA-PBE
# N(E_F): 7.400 states/eV per cell
# Energy relative to the elements: -0.15 eV per atom
data_K7RbAu3
_chemical_formula_sum 'K7 Rb1 Au3'
_cell_length_a 9.4503
_cell_length_b 9.4503
_cell_length_c 7.8502
_cell_angle_alpha 90.00
_cell_angle_beta 90.00
_cell_angle_gamma 120.00
_space_group_name_H-M_alt 'P 3 m 1'
_space_group_IT_number 156
loop_
_space_group_symop_operation_xyz
'x,y,z'
'-y,x-y,z'
'-x+y,-x,z'
'-y,-x,z'
'-x+y,y,z'
'x,x-y,z'
loop_
_atom_site_label
_atom_site_type_symbol
_atom_site_fract_x
_atom_site_fract_y
_atom_site_fract_z
K1 K 0.0000 0.0000 0.0000
K2 K 0.3323 0.1662 0.4938
K3 K 0.5025 0.0049 0.0097
Rb1 Rb 0.3333 0.6667 0.5041
Au1 Au 0.1643 0.3287 0.2451

=====

(2)
# KRbAu2, relaxed, DFT GGA-PBE
# N(E_F): 0.068 states/eV per cell
# Energy relative to the elements: -0.28 eV per atom
data_KRbAu2
_chemical_formula_sum 'K1 Rb1 Au2'
_cell_length_a 4.088
_cell_length_b 4.088
_cell_length_c 8.122
_cell_angle_alpha 90.00
_cell_angle_beta 90.00
_cell_angle_gamma 90.00
_space_group_name_H-M_alt 'P 4/m m m'
_space_group_IT_number 123
_space_group_name_Hall '-P 4 2'
loop_
_atom_site_label
_atom_site_type_symbol
_atom_site_fract_x
_atom_site_fract_y
_atom_site_fract_z
K1 K 0.000 0.000 0.000
Rb1 Rb 0.000 0.000 0.500
Au1 Au 0.500 0.500 0.233

=====

> Which formula does entry 2 have?

KRbAu2